--- P ---
GGA+U Li3VO3F, optimized geometry; total magnetization = 4.0 μB/cell; symmetry = P1, No. 1
1.0
7.2230 0.0071 0.0078
-2.3302 6.8044 -0.0026
-2.4371 -3.4319 5.8774
O Li V F
12 12 4 4
direct
0.9982 0.2449 0.0001 O
0.2374 0.2329 0.7496 O
0.7567 0.2313 0.2421 O
0.7672 0.9923 0.5196 O
0.9975 0.9970 0.2192 O
0.7624 0.5227 0.0013 O
0.2480 0.4713 0.4802 O
0.2193 0.0069 0.9950 O
0.5179 0.9897 0.7638 O
0.0076 0.5335 0.7748 O
0.7645 0.7701 0.7655 O
0.4851 0.4799 0.2479 O
0.5204 0.0045 0.2691 Li
0.5043 0.2599 0.0004 Li
0.2663 0.0051 0.5174 Li
0.4856 0.4811 0.7580 Li
0.0046 0.2496 0.5029 Li
0.7532 0.2649 0.7592 Li
0.7505 0.4852 0.4816 Li
0.2565 0.5011 0.9967 Li
0.5069 0.7408 0.5042 Li
0.2477 0.7384 0.7404 Li
0.9864 0.5011 0.2445 Li
0.7314 0.7253 0.2414 Li
0.9751 0.7314 0.9760 V
0.2564 0.2757 0.2564 V
0.0006 0.0214 0.7410 V
0.7409 0.0209 0.0010 V
0.0085 0.7581 0.5069 F
0.5021 0.7610 0.0055 F
0.4949 0.2421 0.4881 F
0.2460 0.7599 0.2502 F

--- Q ---
GGA+U Li3VO3F, optimized geometry; total magnetization = 2.0 μB/cell; symmetry = P-1, No. 2; DOS at the Fermi energy = 0.0 states/eV/cell
1.0
-4.8063 1.7078 -0.5976
0.3782 -2.9666 4.2100
1.5247 4.7454 3.0528
O F V Li
6 2 2 6
direct
0.9992 0.7721 0.8983 O
0.5054 0.2231 0.8878 O
0.4946 0.7769 0.1122 O
0.5295 0.7667 0.6385 O
0.0008 0.2279 0.1017 O
0.4705 0.2333 0.3615 O
0.9877 0.2498 0.6283 F
0.0123 0.7502 0.3717 F
0.7317 0.9758 0.8785 V
0.2683 0.0242 0.1215 V
0.7282 0.4882 0.6319 Li
0.2718 0.5118 0.3681 Li
0.7601 0.4929 0.1271 Li
0.2399 0.5071 0.8729 Li
0.2569 0.9944 0.6252 Li
0.7431 0.0056 0.3748 Li

In terms of stability, Q leads; the second structure lies 0.034 eV/atom higher.

--- P ---
GGA+U LiWOF2, optimized geometry; total magnetization = 3.0 μB/cell; symmetry = P4/mmm, No. 123; DOS at the Fermi energy = 0.0 states/eV/cell
1.0
3.4303 0.0000 0.0000
0.0000 3.4303 0.0000
0.0000 0.0000 4.2649
W F Li O
1 2 1 1
direct
0.5000 0.5000 0.5000 W
0.0000 0.5000 0.0000 F
0.5000 0.0000 0.0000 F
0.0000 0.0000 0.0000 Li
0.0000 0.0000 0.5000 O

--- Q ---
GGA+U LiWOF2, optimized geometry; total magnetization = 3.0 μB/cell; symmetry = P4/mmm, No. 123; DOS at the Fermi energy = 0.5 states/eV/cell
1.0
4.2389 0.0000 0.0000
0.0000 4.2389 0.0000
0.0000 0.0000 4.2143
O Li F W
1 1 2 1
direct
0.0000 0.0000 0.5000 O
0.5000 0.5000 0.5000 Li
0.5000 0.0000 0.0000 F
0.0000 0.5000 0.0000 F
0.0000 0.0000 0.0000 W

In terms of stability, Q leads; the second structure lies 0.271 eV/atom higher.